1.
Entry from Alexandria via LeMat-Bulk: crystalline CeTaS3 at its relaxed geometry (GGA-PBE).

DOS at the Fermi energy ... 5.2 states/eV/f.u.
Relative energy among the computed polymorphs ... 0.0 meV/atom
Formation energy (no corrections) ... -1.470 eV/atom

Cell lengths 3.622, 7.321, 8.049 Å; angles 93.02, 90.00, 104.32 degrees
Positions (direct):
1 S 0.054 0.108 0.669
2 S 0.946 0.892 0.331
3 S 0.750 0.500 0.671
4 S 0.626 0.252 0.032
5 S 0.374 0.748 0.968
6 S 0.250 0.500 0.329
7 Ce 0.395 0.789 0.603
8 Ce 0.605 0.211 0.397
9 Ta 0.203 0.407 0.876
10 Ta 0.797 0.593 0.124



2.
Entry from Alexandria via LeMat-Bulk: crystalline ZrSc2Fe at its relaxed geometry (GGA-PBE).

DOS at the Fermi energy ... 5.6 states/eV/f.u.
Relative energy among the computed polymorphs ... 215.1 meV/atom
E_form ... 107 meV per atom

Cell lengths 4.180, 3.282, 5.970 Å; angles 74.17, 90.00, 90.00 degrees
Positions (direct):
1 Sc 0.000 0.914 0.971
2 Sc 0.500 0.249 0.254
3 Fe 0.500 0.755 0.740
4 Zr 0.000 0.582 0.534



3.
Entry from Alexandria via LeMat-Bulk: crystalline PtRhCl2 at its relaxed geometry (GGA-PBE).

DOS at the Fermi energy ... 4.5 states/eV/f.u.
Relative energy among the computed polymorphs ... 533.2 meV/atom
Formation energy (no corrections) ... 0.421 eV/atom

Cell lengths 2.964, 5.633, 4.073 Å; angles 90.00, 90.00, 90.00 degrees
Positions (direct):
1 Cl 0.500 0.500 0.000
2 Cl 0.000 0.000 0.000
3 Rh 0.000 0.500 0.500
4 Pt 0.500 0.000 0.500